# 1
# PBE-GGA Sr2FeCu, relaxed
# Crystal system = cubic
# ΔE to the lowest computed polymorph = 421.5 meV per atom
# Size of the total moment = 2.6 μB/cell
# Density of states at the Fermi level = 7.41 states/eV/cell
data_Sr2FeCu
_space_group_name_H-M_alt 'P 1'
_space_group_IT_number 1
_cell_length_a 5.2169
_cell_length_b 5.2169
_cell_length_c 5.2169
_cell_angle_alpha 60.00
_cell_angle_beta 60.00
_cell_angle_gamma 60.00
loop_
_space_group_symop_operation_xyz
'x,y,z'
loop_
_atom_site_label
_atom_site_type_symbol
_atom_site_fract_x
_atom_site_fract_y
_atom_site_fract_z
Sr1 Sr 0.0000 0.0000 0.0000
Sr2 Sr 0.2500 0.2500 0.2500
Cu1 Cu 0.5000 0.5000 0.5000
Fe1 Fe 0.7500 0.7500 0.7500

***

# 2
# PBE-GGA SrFe2Cu, relaxed
# Crystal system = tetragonal
# Size of the total moment = 10.1 μB/cell
# Density of states at the Fermi level = 9.09 states/eV/cell
data_SrFe2Cu
_space_group_name_H-M_alt 'P 1'
_space_group_IT_number 1
_cell_length_a 4.5447
_cell_length_b 4.5447
_cell_length_c 9.2352
_cell_angle_alpha 75.76
_cell_angle_beta 75.76
_cell_angle_gamma 90.00
loop_
_space_group_symop_operation_xyz
'x,y,z'
loop_
_atom_site_label
_atom_site_type_symbol
_atom_site_fract_x
_atom_site_fract_y
_atom_site_fract_z
Fe1 Fe 0.8750 0.6250 0.7500
Fe2 Fe 0.3750 0.6250 0.2500
Fe3 Fe 0.3750 0.1250 0.2500
Fe4 Fe 0.3750 0.6250 0.7500
Cu1 Cu 0.5000 0.5000 0.0000
Cu2 Cu 0.2500 0.7500 0.5000
Sr1 Sr 0.7500 0.2500 0.5000
Sr2 Sr 0.0000 0.0000 0.0000

***

# 3
# PBE-GGA SrFeCu4, relaxed
# Crystal system = cubic
# Size of the total moment = 2.5 μB/cell
# Density of states at the Fermi level = 4.89 states/eV/cell
data_SrFeCu4
_space_group_name_H-M_alt 'P 1'
_space_group_IT_number 1
_cell_length_a 5.1248
_cell_length_b 5.1248
_cell_length_c 5.1248
_cell_angle_alpha 60.00
_cell_angle_beta 60.00
_cell_angle_gamma 60.00
loop_
_space_group_symop_operation_xyz
'x,y,z'
loop_
_atom_site_label
_atom_site_type_symbol
_atom_site_fract_x
_atom_site_fract_y
_atom_site_fract_z
Cu1 Cu 0.3768 0.3768 0.8697
Cu2 Cu 0.8697 0.3768 0.3768
Cu3 Cu 0.3768 0.8697 0.3768
Cu4 Cu 0.3768 0.3768 0.3768
Fe1 Fe 0.7500 0.7500 0.7500
Sr1 Sr 0.0000 0.0000 0.0000

***

# 4
# PBE-GGA SrFeCu, relaxed
# Crystal system = tetragonal
# ΔE to the lowest computed polymorph = 102.3 meV per atom
# Size of the total moment = 2.9 μB/cell
# Density of states at the Fermi level = 3.03 states/eV/cell
data_SrFeCu
_space_group_name_H-M_alt 'P 1'
_space_group_IT_number 1
_cell_length_a 5.9643
_cell_length_b 5.9646
_cell_length_c 3.3997
_cell_angle_alpha 73.44
_cell_angle_beta 73.45
_cell_angle_gamma 33.12
loop_
_space_group_symop_operation_xyz
'x,y,z'
loop_
_atom_site_label
_atom_site_type_symbol
_atom_site_fract_x
_atom_site_fract_y
_atom_site_fract_z
Cu1 Cu 0.9514 0.9514 0.0486
Sr1 Sr 0.6650 0.6650 0.3350
Fe1 Fe 0.3836 0.3836 0.6164

***

no.,DFT formation energy (meV/atom)
1,698.7
2,590.6
3,256.8
4,454.6